[1]
{"formula": "AlZn2Br", "functional": "GGA-PBE", "state": "optimized geometry", "raw_formation_energy_ev_per_atom": 0.15, "rho_g_cm3": 4.71, "total_energy_ev_per_atom": -1.84, "cell": [[5.708, 0.022, -0.018], [2.162, 5.283, 0.018], [-3.073, -3.932, 2.772]], "species": ["Zn", "Zn", "Al", "Br"], "frac_coords": [[0.975, 0.975, 0.000], [0.739, 0.239, 0.500], [0.506, 0.506, 0.000], [0.279, 0.779, 0.500]]}

---

[2]
{"formula": "AlInPd3", "functional": "GGA-PBE", "state": "optimized geometry", "rho_g_cm3": 9.08, "total_energy_ev_per_atom": -5.01, "formation_energy_mev_per_atom": -596.5, "cell": [[-1.671, 5.060, 1.728], [-5.587, -2.933, 3.183], [3.703, -1.381, 7.622]], "species": ["Al", "Al", "Al", "Al", "In", "In", "In", "In", "Pd", "Pd", "Pd", "Pd", "Pd", "Pd", "Pd", "Pd", "Pd", "Pd", "Pd", "Pd"], "frac_coords": [[0.250, 0.930, 0.581], [0.750, 0.070, 0.419], [0.750, 0.070, 0.919], [0.250, 0.930, 0.081], [0.750, 0.652, 0.112], [0.250, 0.348, 0.888], [0.250, 0.348, 0.388], [0.750, 0.652, 0.612], [0.008, 0.806, 0.346], [0.992, 0.194, 0.654], [0.508, 0.194, 0.154], [0.492, 0.806, 0.846], [0.492, 0.806, 0.346], [0.508, 0.194, 0.654], [0.992, 0.194, 0.154], [0.008, 0.806, 0.846], [0.250, 0.577, 0.615], [0.750, 0.423, 0.385], [0.750, 0.423, 0.885], [0.250, 0.577, 0.115]]}

---

[3]
{"formula": "Ac2UPd2S6", "functional": "GGA-PBE", "state": "optimized geometry", "raw_formation_energy_ev_per_atom": -1.35, "rho_g_cm3": 6.78, "total_energy_ev_per_atom": -6.31, "cell": [[-3.742, -5.057, 2.344], [7.213, -0.119, 1.644], [-4.416, 4.803, 3.314]], "species": ["Ac", "Ac", "U", "Pd", "Pd", "S", "S", "S", "S", "S", "S"], "frac_coords": [[0.743, 0.486, 0.222], [0.257, 0.514, 0.778], [0.500, 0.000, 0.500], [0.931, 0.861, 0.749], [0.069, 0.139, 0.251], [0.724, 0.447, 0.611], [0.169, 0.843, 0.178], [0.326, 0.157, 0.822], [0.831, 0.157, 0.822], [0.674, 0.843, 0.178], [0.276, 0.553, 0.389]]}

---

[4]
{"formula": "Ca2PmAu", "functional": "GGA-PBE", "state": "optimized geometry", "rho_g_cm3": 5.44, "total_energy_ev_per_atom": -3.40, "formation_energy_mev_per_atom": -390.8, "cell": [[3.886, 0.001, 0.000], [-1.944, 6.429, 0.000], [0.000, 0.000, 10.308]], "species": ["Ca", "Ca", "Ca", "Ca", "Pm", "Pm", "Au", "Au"], "frac_coords": [[0.361, 0.723, 0.565], [0.639, 0.277, 0.435], [0.361, 0.723, 0.935], [0.639, 0.277, 0.065], [0.926, 0.852, 0.250], [0.074, 0.148, 0.750], [0.748, 0.497, 0.750], [0.252, 0.503, 0.250]]}

---

[5]
{"formula": "Li2NbAgRu", "functional": "GGA-PBE", "state": "optimized geometry", "rho_g_cm3": 5.75, "total_energy_ev_per_atom": -3.89, "formation_energy_mev_per_atom": 1315.7, "cell": [[-3.568, 1.174, -2.033], [-0.520, -4.641, -1.768], [-2.305, -1.051, 3.439]], "species": ["Ru", "Nb", "Ag", "Li", "Li"], "frac_coords": [[0.000, 0.000, 0.000], [0.500, 0.500, 0.500], [0.000, 0.500, 0.000], [0.000, 0.000, 0.500], [0.500, 0.000, 0.000]]}

---

[6]
{"formula": "Tb2Pr2Dy4Ho", "functional": "GGA-PBE", "state": "optimized geometry", "rho_g_cm3": 8.01, "total_energy_ev_per_atom": -4.64, "formation_energy_mev_per_atom": 0.1, "cell": [[-3.123, -0.416, -1.774], [3.503, -8.871, -0.403], [-4.838, 2.122, 8.018]], "species": ["Tb", "Tb", "Pr", "Pr", "Dy", "Dy", "Dy", "Dy", "Ho"], "frac_coords": [[0.853, 0.706, 0.338], [0.147, 0.294, 0.662], [0.335, 0.670, 0.001], [0.665, 0.330, 0.999], [0.815, 0.629, 0.664], [0.185, 0.371, 0.336], [0.519, 0.039, 0.334], [0.481, 0.961, 0.666], [0.000, 0.000, 0.000]]}

---

[7]
{"formula": "RbMg6BO7", "functional": "GGA-PBE", "state": "optimized geometry", "raw_formation_energy_ev_per_atom": -1.82, "rho_g_cm3": 3.03, "total_energy_ev_per_atom": -5.28, "cell": [[-3.895, -3.100, -0.193], [0.148, -0.495, 4.955], [-4.873, 6.075, 0.752]], "species": ["Rb", "Mg", "Mg", "Mg", "Mg", "Mg", "Mg", "B", "O", "O", "O", "O", "O", "O", "O"], "frac_coords": [[0.000, 0.000, 0.001], [0.500, 0.500, 0.004], [0.500, 0.500, 0.497], [0.000, 0.500, 0.256], [0.000, 0.500, 0.743], [0.500, 0.000, 0.256], [0.500, 0.000, 0.743], [0.000, 0.000, 0.500], [0.000, 0.000, 0.333], [0.000, 0.000, 0.669], [0.500, 0.500, 0.751], [0.000, 0.500, 0.999], [0.000, 0.500, 0.499], [0.500, 0.000, 0.999], [0.500, 0.000, 0.499]]}

---

[8]
{"formula": "LiDyP2Pt4", "functional": "GGA-PBE", "state": "optimized geometry", "rho_g_cm3": 11.55, "total_energy_ev_per_atom": -5.92, "formation_energy_mev_per_atom": -731.7, "cell": [[-3.721, 0.124, -1.642], [-1.522, -1.811, 3.312], [-1.359, 7.859, 3.673]], "species": ["Li", "Dy", "P", "P", "Pt", "Pt", "Pt", "Pt"], "frac_coords": [[0.000, 0.000, 0.500], [0.000, 0.000, 0.000], [0.500, 0.500, 0.378], [0.500, 0.500, 0.622], [0.000, 0.500, 0.246], [0.500, 0.000, 0.754], [0.500, 0.000, 0.246], [0.000, 0.500, 0.754]]}